First-principles (PBE) data for a geometry-optimized Ca3Co structure, as listed in the Alexandria database.

abc: 3.581 3.581 10.072
angles: 69.03 90.00 90.00
Last column: magnetic moment on the atom in μB.
Sites, in units of the cell vectors:
Co 0.500 0.250 0.250  1.18
Ca 0.000 0.577 0.423  -0.07
Ca 0.000 0.923 0.077  -0.07
Ca 0.500 0.750 0.750  0.02

Computed properties:
Density of states at the Fermi level   7.271 states/eV/f.u.
Volume   121 Å³ per cell
Magnetization   0.85 μB per cell
E_form   224 meV/atom

First-principles (PBE) data for a geometry-optimized Ca5Co structure, as listed in the Alexandria database.

abc: 3.667 3.667 15.004
angles: 90.00 90.00 90.00
Last column: magnetic moment on the atom in μB.
Sites, in units of the cell vectors:
Ca 0.500 0.500 0.305  0.00
Ca 0.000 0.000 0.107  -0.08
Ca 0.000 0.000 0.500  0.00
Ca 0.500 0.500 0.695  0.00
Ca 0.000 0.000 0.893  -0.08
Co 0.500 0.500 0.000  1.23

Computed properties:
Density of states at the Fermi level   8.916 states/eV/f.u.
Volume   202 Å³ per cell
Magnetization   0.66 μB per cell
E_form   157 meV/atom

First-principles (PBE) data for a geometry-optimized Ca3Co structure, as listed in the Alexandria database.

abc: 6.389 6.389 6.389
angles: 116.67 116.67 116.67
Last column: magnetic moment on the atom in μB.
Sites, in units of the cell vectors:
Ca 0.000 0.500 0.500  -0.03
Ca 0.000 0.000 0.000  -0.03
Co 0.500 0.500 0.000  1.75
Ca 0.500 0.000 0.500  -0.03

Computed properties:
Density of states at the Fermi level   6.438 states/eV/f.u.
Volume   121 Å³ per cell
Magnetization   1.26 μB per cell
E_form   559 meV/atom

First-principles (PBE) data for a geometry-optimized Ca5Co structure, as listed in the Alexandria database.

abc: 6.716 6.716 9.268
angles: 68.18 68.18 31.88
Last column: magnetic moment on the atom in μB.
Sites, in units of the cell vectors:
Ca 0.027 0.027 0.387  -0.03
Ca 0.694 0.694 0.611  0.01
Co 0.694 0.694 0.111  0.86
Ca 0.076 0.076 0.993  -0.04
Ca 0.313 0.313 0.229  -0.04
Ca 0.362 0.362 0.835  -0.03

Computed properties:
Density of states at the Fermi level   7.505 states/eV/f.u.
Volume   204 Å³ per cell
Magnetization   0.39 μB per cell
E_form   158 meV/atom

First-principles (PBE) data for a geometry-optimized CaCo3 structure, as listed in the Alexandria database.

abc: 2.808 3.889 5.783
angles: 90.00 90.00 90.00
Last column: magnetic moment on the atom in μB.
Sites, in units of the cell vectors:
Ca 0.000 0.000 0.025  -0.07
Co 0.500 0.000 0.514  1.71
Co 0.500 0.500 0.730  1.50
Co 0.000 0.500 0.397  1.59

Computed properties:
Density of states at the Fermi level   6.000 states/eV/f.u.
Volume   63 Å³ per cell
Magnetization   4.59 μB per cell
E_form   426 meV/atom

First-principles (PBE) data for a geometry-optimized CaCo2 structure, as listed in the Alexandria database.

abc: 5.597 5.597 4.163
angles: 90.00 90.00 128.54
Last column: magnetic moment on the atom in μB.
Sites, in units of the cell vectors:
Ca 0.757 0.757 0.750  -0.08
Co 0.140 0.591 0.750  1.49
Co 0.409 0.860 0.250  1.49
Ca 0.243 0.243 0.250  -0.08
Co 0.591 0.140 0.750  1.49
Co 0.860 0.409 0.250  1.49

Computed properties:
Density of states at the Fermi level   2.573 states/eV/f.u.
Volume   102 Å³ per cell
Magnetization   5.34 μB per cell
E_form   121 meV/atom

First-principles (PBE) data for a geometry-optimized Ca3Co structure, as listed in the Alexandria database.

abc: 7.278 7.278 4.937
angles: 90.00 90.00 120.00
Last column: magnetic moment on the atom in μB.
Sites, in units of the cell vectors:
Ca 0.634 0.817 0.750  -0.05
Ca 0.183 0.817 0.750  -0.05
Ca 0.366 0.183 0.250  -0.05
Ca 0.817 0.183 0.250  -0.05
Co 0.333 0.667 0.250  0.91
Ca 0.817 0.634 0.250  -0.05
Ca 0.183 0.366 0.750  -0.05
Co 0.667 0.333 0.750  0.91

Computed properties:
Density of states at the Fermi level   4.358 states/eV/f.u.
Volume   226 Å³ per cell
Magnetization   0.84 μB per cell
E_form   370 meV/atom

First-principles (PBE) data for a geometry-optimized Ca4Co structure, as listed in the Alexandria database.

abc: 5.528 5.528 5.528
angles: 90.00 90.00 90.00
Sites, in units of the cell vectors:
Ca 0.000 0.000 0.000
Ca 0.500 0.500 0.000
Ca 0.000 0.500 0.500
Ca 0.500 0.000 0.500
Co 0.500 0.500 0.500

Computed properties:
Density of states at the Fermi level   3.981 states/eV/f.u.
Volume   169 Å³ per cell
Magnetization   0.00 μB per cell
E_form   141 meV/atom